Record 1
Tb2Sm3Hg2: optimized geometry, GGA-PBE.

Cell and atoms, written as extended XYZ:
```
7
Lattice="-3.484 4.102 0.736 1.804 -2.829 4.269 6.110 5.601 -2.320" Properties=species:S:1:pos:R:3 pbc="T T T"
Tb -0.007 2.931 3.672
Tb 4.437 3.943 -0.986
Sm -1.742 2.051 0.368
Sm 1.183 4.467 0.735
Sm 3.247 2.407 1.951
Hg 3.568 6.438 1.038
Hg 0.862 0.436 1.648
```

excess energy over the best structure of this formula in the dataset	0	meV/atom
energy of formation from the pure elements	-0.243	eV per atom
symmetry	R-3m (166)
calculated total energy	-25.720	eV/f.u.



Record 2
SmMgOs: optimized geometry, GGA-PBE.

Cell and atoms, written as extended XYZ:
```
18
Lattice="5.562 0.000 0.000 2.781 4.817 0.000 2.781 1.606 14.245" Properties=species:S:1:pos:R:3 pbc="T T T"
Sm 8.343 4.817 11.657
Sm 2.781 1.606 2.588
Sm 2.781 1.606 12.657
Sm 8.343 4.817 1.588
Sm 2.781 1.606 6.625
Sm 8.343 4.817 7.620
Mg 4.212 3.991 4.615
Mg 5.562 1.652 4.615
Mg 6.912 3.991 4.615
Mg 6.912 2.432 9.630
Mg 5.562 4.770 9.630
Mg 4.212 2.432 9.630
Os 5.562 3.211 12.083
Os 5.562 3.211 2.162
Os 1.391 2.409 0.000
Os 2.781 0.000 0.000
Os 4.172 2.409 0.000
Os 5.562 3.211 7.123
```

energy of formation from the pure elements	-0.059	eV per atom
symmetry	R-3m (166)
calculated total energy	-17.720	eV/f.u.



Record 3
LiIr2Br: optimized geometry, GGA-PBE.

Cell and atoms, written as extended XYZ:
```
4
Lattice="-8.978 -5.475 -1.001 -7.195 -7.663 -1.048 -8.099 -6.632 1.420" Properties=species:S:1:pos:R:3 pbc="T T T"
Br -18.812 -15.322 -0.487
Ir -23.718 -19.319 -0.614
Ir -5.900 -4.805 -0.153
Li -12.251 -9.979 -0.317
```

excess energy over the best structure of this formula in the dataset	171	meV/atom
symmetry	R3m (160)
calculated total energy	-20.226	eV/f.u.



Record 4
KTiO2F: optimized geometry, GGA-PBE.

Cell and atoms, written as extended XYZ:
```
5
Lattice="-0.432 2.708 -3.355 -3.901 1.189 1.462 1.854 3.200 2.344" Properties=species:S:1:pos:R:3 pbc="T T T"
K 0.000 0.000 0.000
F 0.927 1.600 1.172
O -1.951 0.594 0.731
O -0.216 1.354 -1.677
Ti -1.240 3.548 0.226
```

symmetry	P4/mmm (123)
calculated total energy	-20.786	eV/f.u.



Record 5
SiTcRu: optimized geometry, GGA-PBE.

Cell and atoms, written as extended XYZ:
```
3
Lattice="-0.024 0.455 4.047 -3.539 0.177 2.009 -1.142 -3.094 2.391" Properties=species:S:1:pos:R:3 pbc="T T T"
Ru -3.528 -1.846 6.335
Si 0.000 0.000 0.000
Tc -2.352 -1.231 4.223
```

excess energy over the best structure of this formula in the dataset	264	meV/atom
symmetry	F-43m (216)
calculated total energy	-25.417	eV/f.u.



Fermi-level density of states for the records above, in order: 6.97, 13.03, 4.69, 4.80, 2.02 states/eV/cell